[1]
DFT (PBE-GGA) results for crystalline Pm6HgAs3S2 at its relaxed geometry.

The space group is C2/m (No. 12) and the conventional cell measures 18.2361, 4.1761 and 8.4649 Å, with angles of 90.00, 102.35 and 90.00 degrees. The asymmetric unit holds Pm at (0.0043, 0.0000, 0.2683), Pm at (0.1674, 0.5000, 0.5854), Pm at (0.1736, 0.5000, 0.0928), Hg at (0.0000, 0.5000, 0.0000), As at (0.0000, 0.5000, 0.5000), As at (0.1644, 0.0000, 0.8343) and S at (0.1696, 0.0000, 0.3396).

The calculation puts the volume at 26.24 A^3/atom. The spin magnetization comes out at 0.0000 μB per atom. The total energy is -5.76 eV per atom. For the density of states at the Fermi level, the calculation gives 9.40 states/eV per cell. Its uncorrected formation energy is -1.507 eV per atom.

***

[2]
DFT (PBE-GGA) results for crystalline Pm6HgAs2S3 at its relaxed geometry.

The space group is C2/m (No. 12) and the conventional cell measures 18.1736, 4.1476 and 8.3947 Å, with angles of 90.00, 103.65 and 90.00 degrees. The asymmetric unit holds Pm at (0.0020, 0.0000, 0.2302), Pm at (0.1673, 0.5000, 0.0825), Pm at (0.1728, 0.5000, 0.5858), Hg at (0.0000, 0.5000, 0.5000), As at (0.1657, 0.0000, 0.8322), S at (0.0000, 0.5000, 0.0000) and S at (0.1677, 0.0000, 0.3326).

The calculation puts the volume at 25.62 A^3/atom. The spin magnetization comes out at 0.0000 μB per atom. The total energy is -5.79 eV per atom. For the density of states at the Fermi level, the calculation gives 11.45 states/eV per cell. Its uncorrected formation energy is -1.582 eV per atom.

***

[3]
DFT (PBE-GGA) results for crystalline Pm6HgAs2Se3 at its relaxed geometry.

The space group is C2/m (No. 12) and the conventional cell measures 18.5357, 4.2188 and 8.5770 Å, with angles of 90.00, 103.31 and 90.00 degrees. The asymmetric unit holds Pm at (0.0021, 0.0000, 0.2618), Pm at (0.1698, 0.5000, 0.0925), Pm at (0.1697, 0.5000, 0.5772), Hg at (0.0000, 0.5000, 0.0000), As at (0.1669, 0.0000, 0.3344), Se at (0.0000, 0.5000, 0.5000) and Se at (0.1671, 0.0000, 0.8326).

The calculation puts the volume at 27.19 A^3/atom. The spin magnetization comes out at 0.0000 μB per atom. The total energy is -5.56 eV per atom. For the density of states at the Fermi level, the calculation gives 11.33 states/eV per cell. Its uncorrected formation energy is -1.517 eV per atom.

***

[4]
DFT (PBE-GGA) results for crystalline Pm4HgTe2As at its relaxed geometry.

The space group is P2/m (No. 10) and the conventional cell measures 7.6542, 4.3195 and 7.7008 Å, with angles of 90.00, 108.62 and 90.00 degrees. The asymmetric unit holds Pm at (0.2286, 0.0000, 0.2330), Pm at (0.2391, 0.5000, 0.7549), Hg at (0.0000, 0.0000, 0.5000), Te at (0.5000, 0.0000, 0.0000), Te at (0.5000, 0.5000, 0.5000) and As at (0.0000, 0.5000, 0.0000).

The calculation puts the volume at 30.16 A^3/atom. The spin magnetization comes out at 0.0000 μB per atom. The total energy is -4.99 eV per atom. For the density of states at the Fermi level, the calculation gives 5.88 states/eV per cell. Its uncorrected formation energy is -1.206 eV per atom.

***

[5]
DFT (PBE-GGA) results for crystalline PrHgAs at its relaxed geometry.

The space group is R-3m (No. 166, hexagonal axes) and the conventional cell measures 5.0199, 5.0199 and 26.0554 Å, with angles of 90.00, 90.00 and 120.00 degrees. The asymmetric unit holds Pr at (0.0000, 0.0000, 0.1042), Hg at (0.0000, 0.0000, 0.3264) and As at (0.0000, 0.0000, 0.2161).

The calculation puts the volume at 31.59 A^3/atom. The formation energy is -0.67 eV per atom. The spin magnetization comes out at 0.0000 μB per atom. The total energy is -3.91 eV per atom. For the density of states at the Fermi level, the calculation gives 6.79 states/eV per cell.

***

[6]
DFT (PBE-GGA) results for crystalline Pr3HgAs2 at its relaxed geometry.

The space group is Cmcm (No. 63) and the conventional cell measures 5.1374, 13.1999 and 10.6956 Å, with angles of 90.00, 90.00 and 90.00 degrees. The asymmetric unit holds Pr at (0.0000, 0.1002, 0.2500), Pr at (0.0000, 0.3715, 0.0488), Hg at (0.0000, 0.2292, 0.7500), As at (0.0000, 0.0000, 0.0000) and As at (0.0000, 0.4853, 0.7500).

The calculation puts the volume at 30.22 A^3/atom. The formation energy is -0.79 eV per atom. The spin magnetization comes out at 0.0000 μB per atom. The total energy is -4.78 eV per atom. For the density of states at the Fermi level, the calculation gives 18.45 states/eV per cell.

***

[7]
DFT (PBE-GGA) results for crystalline Pr2HgAs3Rh4 at its relaxed geometry.

The space group is P-4m2 (No. 115) and the conventional cell measures 4.1719, 4.1719 and 11.1117 Å, with angles of 90.00, 90.00 and 90.00 degrees. The asymmetric unit holds Pr at (0.0000, 0.5000, 0.2478), Hg at (0.0000, 0.0000, 0.5000), As at (0.0000, 0.5000, 0.8735), As at (0.5000, 0.5000, 0.5000), Rh at (0.0000, 0.0000, 0.0000), Rh at (0.0000, 0.5000, 0.6603) and Rh at (0.5000, 0.5000, 0.0000).

The calculation puts the volume at 19.34 A^3/atom. The formation energy is -0.76 eV per atom. The spin magnetization comes out at 0.0000 μB per atom. The total energy is -6.08 eV per atom. For the density of states at the Fermi level, the calculation gives 4.21 states/eV per cell.

***

[8]
DFT (PBE-GGA) results for crystalline Pr6HgAs2S3 at its relaxed geometry.

The space group is C2/m (No. 12) and the conventional cell measures 18.4688, 4.2224 and 8.5295 Å, with angles of 90.00, 103.52 and 90.00 degrees. The asymmetric unit holds Pr at (0.0017, 0.0000, 0.2300), Pr at (0.1672, 0.5000, 0.0828), Pr at (0.1729, 0.5000, 0.5863), Hg at (0.0000, 0.5000, 0.5000), As at (0.1658, 0.0000, 0.8325), S at (0.0000, 0.5000, 0.0000) and S at (0.1675, 0.0000, 0.3331).

The calculation puts the volume at 26.95 A^3/atom. The spin magnetization comes out at 0.0000 μB per atom. The total energy is -5.79 eV per atom. For the density of states at the Fermi level, the calculation gives 11.77 states/eV per cell. Its uncorrected formation energy is -1.568 eV per atom.